Record 1
Density functional theory data (PBE-GGA) for a relaxed KLi2GaAu crystal.

Summary:
As for the uncorrected energy: -12.3 eV for the cell shown. Its formation energy is -0.2130 eV per atom. The calculation puts the density of states at the Fermi level at 2.09 states/eV/cell. Its space group is P4/mmm, No. 123. For the polymorph energy (0 for the lowest one), the calculation gives 0 meV/atom.

Cell lengths 5.1807, 5.1807, 4.8839 Å; angles 90.00, 90.00, 90.00 degrees
Last column: nearest neighbours and their distance in Å.
Sites, in units of the cell vectors:
Li1 0.0000 0.5000 0.0000  2 Au 2.59
K1 0.5000 0.5000 0.5000  8 Li 3.56, 4 Ga 3.66
Au1 0.0000 0.0000 0.0000  2 Ga 2.44, 4 Li 2.59
Ga1 0.0000 0.0000 0.5000  2 Au 2.44
Li2 0.5000 0.0000 0.0000  2 Au 2.59

---

Record 2
Density functional theory data (PBE-GGA) for a relaxed Er4SbTe2S crystal.

Summary:
The calculation puts the uncorrected formation energy at -1.373 eV/atom. As for the uncorrected energy: -43.8 eV for the cell shown. The calculation puts the density of states at the Fermi level at 3.37 states/eV/cell. Its space group is P2/m, No. 10.

Cell lengths 4.1815, 7.4183, 7.2889 Å; angles 71.03, 90.00, 90.00 degrees
Last column: nearest neighbours and their distance in Å.
Sites, in units of the cell vectors:
Er1 0.0000 0.7129 0.7818  2 S 2.79, 1 Sb 2.97, 1 Te 3.04
Er2 0.0000 0.2871 0.2182  2 S 2.79, 1 Sb 2.97, 1 Te 3.04
Te1 0.0000 0.0000 0.0000  6 Er 3.04
S1 0.5000 0.5000 0.0000  6 Er 2.75-2.79
Sb1 0.0000 0.5000 0.5000  6 Er 2.96-2.97
Er3 0.5000 0.2760 0.7645  1 S 2.75, 2 Sb 2.96, 2 Te 3.04
Te2 0.5000 0.0000 0.5000  6 Er 3.21-3.24
Er4 0.5000 0.7240 0.2355  1 S 2.75, 2 Sb 2.96, 2 Te 3.04

---

Record 3
Density functional theory data (PBE-GGA) for a relaxed Ba4Pa3CdO12 crystal.

Summary:
The calculation puts the uncorrected formation energy at -3.033 eV/atom. As for the uncorrected energy: -157.3 eV for the cell shown. The calculation puts the density of states at the Fermi level at 7.77 states/eV/cell. Its space group is Im-3m, No. 229.

Cell lengths 7.7315, 7.7315, 7.7315 Å; angles 109.47, 109.47, 109.47 degrees
Last column: nearest neighbours and their distance in Å.
Sites, in units of the cell vectors:
Pa1 0.5000 0.5000 0.0000  6 O 2.12-2.23
O1 0.7378 0.7378 0.0000  1 Pa 2.12, 1 Cd 2.34
O2 0.2500 0.7500 0.5000  2 Pa 2.23
O3 0.0000 0.2622 0.2622  1 Pa 2.12, 1 Cd 2.34
O4 0.2500 0.5000 0.7500  2 Pa 2.23
Pa2 0.0000 0.5000 0.5000  6 O 2.12-2.23
O5 0.7500 0.5000 0.2500  2 Pa 2.23
Ba1 0.0000 0.5000 0.0000  12 O 3.16
Cd1 0.0000 0.0000 0.0000  6 O 2.34
O6 0.2622 0.2622 0.0000  1 Pa 2.12, 1 Cd 2.34
O7 0.7378 0.0000 0.7378  1 Pa 2.12, 1 Cd 2.34
O8 0.7500 0.2500 0.5000  2 Pa 2.23
O9 0.2622 0.0000 0.2622  1 Pa 2.12, 1 Cd 2.34
O10 0.0000 0.7378 0.7378  1 Pa 2.12, 1 Cd 2.34
Ba2 0.5000 0.0000 0.0000  12 O 3.16
Pa3 0.5000 0.0000 0.5000  6 O 2.12-2.23
Ba3 0.5000 0.5000 0.5000  12 O 3.16
Ba4 0.0000 0.0000 0.5000  12 O 3.16
O11 0.5000 0.2500 0.7500  2 Pa 2.23
O12 0.5000 0.7500 0.2500  2 Pa 2.23

---

Record 4
Density functional theory data (PBE-GGA) for a relaxed EuDyPb crystal.

Summary:
As for the uncorrected energy: -19.4 eV for the cell shown. Its formation energy is -0.2788 eV per atom. The calculation puts the density of states at the Fermi level at 2.83 states/eV/cell. Its space group is I4mm, No. 107. For the polymorph energy (0 for the lowest one), the calculation gives 0 meV/atom.

Cell lengths 4.1546, 4.1546, 6.1605 Å; angles 109.71, 109.71, 90.00 degrees
Last column: nearest neighbours and their distance in Å.
Sites, in units of the cell vectors:
Pb1 0.2732 0.2732 0.5465  4 Dy 3.30, 5 Eu 3.46-3.59
Eu1 0.9415 0.9415 0.8831  5 Dy 3.32-3.61, 5 Pb 3.46-3.59
Dy1 0.6352 0.6352 0.2705  4 Pb 3.30, 5 Eu 3.32-3.61